Entry P
## Be3CdCu (PBE)

Data for a relaxed Be3CdCu crystal.

POSCAR file:
```
Be3CdCu
1.0
-0.5955 4.2981 -0.6107
-1.7973 -0.8052 -3.9144
-3.9518 -0.2815 1.8723
Be Cd Cu
3 1 1
direct
0.0000 0.0000 0.5000
0.5000 0.0000 0.0000
0.0000 0.5000 0.0000
0.0000 0.0000 0.0000
0.5000 0.5000 0.5000
```

The calculation puts the density at 4.0 g/cm³. The calculation puts the volume at 84.14 Å³/cell. For the density of states at the Fermi level, the calculation gives 1.37 states/eV per cell.

=====

Entry Q
## Be3CdCu (PBE)

Data for a relaxed Be3CdCu crystal.

POSCAR file:
```
Be3CdCu
1.0
-2.5349 1.7834 -2.7111
-1.9362 -3.5920 -0.5524
-2.6042 0.9347 3.0498
Be Cu Cd
3 1 1
direct
0.0000 0.5000 0.0000
0.5000 0.0000 0.0000
0.0000 0.0000 0.5000
0.0000 0.0000 0.0000
0.5000 0.5000 0.5000
```

The calculation puts the density at 4.8 g/cm³. The calculation puts the volume at 69.82 Å³/cell. For the density of states at the Fermi level, the calculation gives 1.35 states/eV per cell.

=====

Most stable: entry Q

=====

Entry P
## BeCd2Cu (PBE)

Data for a relaxed BeCd2Cu crystal.

POSCAR file:
```
BeCd2Cu
1.0
-3.8766 -1.8884 -2.4560
1.1543 -4.2134 -2.3541
0.6442 1.5981 4.6538
Cu Cd Be
1 2 1
direct
0.5000 0.5000 0.0000
0.0000 0.0000 0.0000
0.2500 0.7500 0.5000
0.7500 0.2500 0.5000
```

The calculation puts the density at 7.8 g/cm³. The calculation puts the volume at 63.24 Å³/cell. For the density of states at the Fermi level, the calculation gives 1.12 states/eV per cell.

=====

Entry Q
## BeCd2Cu (PBE)

Data for a relaxed BeCd2Cu crystal.

POSCAR file:
```
BeCd2Cu
1.0
4.7314 -0.0116 0.0408
3.8311 2.7766 0.0408
1.0349 0.3342 4.9084
Cd Cu Be
2 1 1
direct
0.4902 0.4902 0.5069
0.0098 0.0098 0.9931
0.2500 0.2500 0.2500
0.7500 0.7500 0.7500
```

The calculation puts the density at 7.6 g/cm³. The calculation puts the volume at 64.57 Å³/cell. For the density of states at the Fermi level, the calculation gives 1.27 states/eV per cell.

=====

Most stable: entry P

=====

Entry P
## BeCd2Cu (PBE)

Data for a relaxed BeCd2Cu crystal.

POSCAR file:
```
BeCd2Cu
1.0
4.1096 0.0000 0.0000
0.0000 2.9492 -0.0047
0.0000 1.5078 5.2354
Cd Be Cu
2 1 1
direct
0.5000 0.2897 0.2989
0.0000 0.9591 0.9521
0.5000 0.5703 0.7342
0.0000 0.6808 0.5148
```

The calculation puts the density at 7.8 g/cm³. The calculation puts the volume at 63.48 Å³/cell. For the density of states at the Fermi level, the calculation gives 1.20 states/eV per cell.

=====

Entry Q
## BeCd2Cu (PBE)

Data for a relaxed BeCd2Cu crystal.

POSCAR file:
```
BeCd2Cu
1.0
4.4844 0.0000 0.0000
2.2422 3.8836 0.0000
2.2422 1.2945 3.6615
Cd Be Cu
2 1 1
direct
0.0000 0.0000 0.0000
0.2500 0.2500 0.2500
0.5000 0.5000 0.5000
0.7500 0.7500 0.7500
```

The calculation puts the density at 7.7 g/cm³. The calculation puts the volume at 63.77 Å³/cell. For the density of states at the Fermi level, the calculation gives 0.69 states/eV per cell.

=====

Most stable: entry P

=====

Entry P
## BeCd2Cu (PBE)

Data for a relaxed BeCd2Cu crystal.

POSCAR file:
```
BeCd2Cu
1.0
8.6051 0.0000 0.0000
0.0000 8.6051 0.0000
4.3026 4.3026 2.1679
Be Cd Cu
2 4 2
direct
0.2500 0.7500 0.5000
0.5000 0.5000 0.0000
0.2539 0.6250 0.2500
0.4961 0.1250 0.2500
0.8750 0.7461 0.7500
0.3750 0.5039 0.7500
0.0000 0.0000 0.0000
0.7500 0.2500 0.5000
```

The calculation puts the density at 6.2 g/cm³. The calculation puts the volume at 160.53 Å³/cell. For the density of states at the Fermi level, the calculation gives 4.08 states/eV per cell.

=====

Entry Q
## BeCd2Cu (PBE)

Data for a relaxed BeCd2Cu crystal.

POSCAR file:
```
BeCd2Cu
1.0
-2.2067 -2.4703 2.9817
-4.4500 -0.2059 -0.1332
-2.0194 -3.7612 -1.2799
Be Cd Cu
1 2 1
direct
0.0000 0.0000 0.0000
0.2500 0.2500 0.2500
0.7500 0.7500 0.7500
0.5000 0.5000 0.5000
```

The calculation puts the density at 7.9 g/cm³. The calculation puts the volume at 62.60 Å³/cell. For the density of states at the Fermi level, the calculation gives 0.82 states/eV per cell.

=====

Most stable: entry Q